{
  "formula": "Dy3V5Ru12",
  "functional": "GGA-PBE",
  "state": "relaxed",
  "formation_enthalpy_0k_ev_per_atom": 0.7314,
  "spacegroup": "Ia-3d",
  "rho_kg_m3": 8064,
  "crystal_system": "cubic",
  "lattice": [[-7.384, 7.384, 7.384], [7.384, -7.384, 7.384], [7.384, 7.384, -7.384]],
  "species": ["Dy", "Dy", "Dy", "Dy", "Dy", "Dy", "Dy", "Dy", "Dy", "Dy", "Dy", "Dy", "V", "V", "V", "V", "V", "V", "V", "V", "V", "V", "V", "V", "V", "V", "V", "V", "V", "V", "V", "V", "Ru", "Ru", "Ru", "Ru", "Ru", "Ru", "Ru", "Ru", "Ru", "Ru", "Ru", "Ru", "Ru", "Ru", "Ru", "Ru", "Ru", "Ru", "Ru", "Ru", "Ru", "Ru", "Ru", "Ru", "Ru", "Ru", "Ru", "Ru", "Ru", "Ru", "Ru", "Ru", "Ru", "Ru", "Ru", "Ru", "Ru", "Ru", "Ru", "Ru", "Ru", "Ru", "Ru", "Ru", "Ru", "Ru", "Ru", "Ru"],
  "fractional_positions": [[0.125, 0.250, 0.375], [0.125, 0.375, 0.750], [0.250, 0.375, 0.125], [0.250, 0.875, 0.625], [0.375, 0.125, 0.250], [0.375, 0.750, 0.125], [0.625, 0.250, 0.875], [0.625, 0.875, 0.750], [0.750, 0.125, 0.375], [0.750, 0.625, 0.875], [0.875, 0.625, 0.250], [0.875, 0.750, 0.625], [0.000, 0.000, 0.000], [0.000, 0.000, 0.500], [0.000, 0.500, 0.000], [0.000, 0.500, 0.500], [0.125, 0.750, 0.875], [0.125, 0.875, 0.250], [0.250, 0.125, 0.875], [0.250, 0.625, 0.375], [0.375, 0.250, 0.625], [0.375, 0.625, 0.750], [0.500, 0.000, 0.000], [0.500, 0.000, 0.500], [0.500, 0.500, 0.000], [0.500, 0.500, 0.500], [0.625, 0.375, 0.250], [0.625, 0.750, 0.375], [0.750, 0.375, 0.625], [0.750, 0.875, 0.125], [0.875, 0.125, 0.750], [0.875, 0.250, 0.125], [0.008, 0.196, 0.065], [0.008, 0.312, 0.943], [0.057, 0.565, 0.369], [0.057, 0.992, 0.688], [0.065, 0.008, 0.196], [0.065, 0.557, 0.869], [0.131, 0.696, 0.688], [0.131, 0.935, 0.443], [0.188, 0.196, 0.631], [0.188, 0.492, 0.557], [0.196, 0.065, 0.008], [0.196, 0.631, 0.188], [0.304, 0.312, 0.869], [0.304, 0.492, 0.435], [0.312, 0.869, 0.304], [0.312, 0.943, 0.008], [0.369, 0.057, 0.565], [0.369, 0.812, 0.804], [0.435, 0.304, 0.492], [0.435, 0.631, 0.943], [0.443, 0.131, 0.935], [0.443, 0.812, 0.508], [0.492, 0.435, 0.304], [0.492, 0.557, 0.188], [0.508, 0.443, 0.812], [0.508, 0.565, 0.696], [0.557, 0.188, 0.492], [0.557, 0.869, 0.065], [0.565, 0.369, 0.057], [0.565, 0.696, 0.508], [0.631, 0.188, 0.196], [0.631, 0.943, 0.435], [0.688, 0.057, 0.992], [0.688, 0.131, 0.696], [0.696, 0.508, 0.565], [0.696, 0.688, 0.131], [0.804, 0.369, 0.812], [0.804, 0.935, 0.992], [0.812, 0.508, 0.443], [0.812, 0.804, 0.369], [0.869, 0.065, 0.557], [0.869, 0.304, 0.312], [0.935, 0.443, 0.131], [0.935, 0.992, 0.804], [0.943, 0.008, 0.312], [0.943, 0.435, 0.631], [0.992, 0.688, 0.057], [0.992, 0.804, 0.935]]
}